GGA-PBE NpAg3I2F6, relaxed; DFT total energy = -4.896 eV/atom; space group = C2/m; DOS at the Fermi energy = 8.6 states/eV/f.u.; spin magnetization = 2.00 μB per cell; calculated density = 5.31 g/cm³
1.0
7.445 -3.806 0.000
7.445 3.806 0.000
-0.650 0.000 5.124
Np Ag I F
1 3 2 6
Direct
0.000 0.000 0.000
0.000 0.500 0.000
0.500 0.000 0.000
0.500 0.500 0.500
0.315 0.315 0.348
0.685 0.685 0.652
0.117 0.117 0.815
0.140 0.745 0.754
0.255 0.860 0.246
0.745 0.140 0.754
0.860 0.255 0.246
0.883 0.883 0.185